Here is a relaxed structure of YCoHN2 from Alexandria. Energies are from GGA-PBE.

Calculated values
For the energy, the calculation gives -28.51 eV for the cell shown. Its crystal system is tetragonal. The total magnetization comes out at 1.59 μB per formula unit.

CIF file:
```
data_YCoHN2
_cell_length_a 3.8780
_cell_length_b 3.8780
_cell_length_c 3.4393
_cell_angle_alpha 90.00
_cell_angle_beta 90.00
_cell_angle_gamma 90.00
_space_group_name_H-M_alt 'P 4/m m m'
_space_group_IT_number 123
_space_group_name_Hall '-P 4 2'
loop_
_atom_site_label
_atom_site_fract_x
_atom_site_fract_y
_atom_site_fract_z
Y1 0.0000 0.0000 0.0000
Co1 0.5000 0.5000 0.0000
H1 0.0000 0.0000 0.5000
N1 0.0000 0.5000 0.5000
```